P | DFT (PBE) results for BaNaCu3 after structural relaxation.

## Properties
Density = 4.424 g/cm3
Total magnetic moment = 0.0 μB/f.u.

Lattice parameters (Å, degrees): 5.088 5.088 5.088 90.00 90.00 90.00
Fractional positions:
Ba (0.000, 0.000, 0.000)
Na (0.500, 0.500, 0.500)
Cu (0.000, 0.500, 0.500)
Cu (0.500, 0.000, 0.500)
Cu (0.500, 0.500, 0.000)

Q | DFT (PBE) results for BaNaCu3 after structural relaxation.

## Properties
Density = 2.785 g/cm3
Total magnetic moment = 0.0 μB/f.u.

Lattice parameters (Å, degrees): 5.937 5.937 5.937 90.00 90.00 90.00
Fractional positions:
Ba (0.000, 0.000, 0.000)
Na (0.500, 0.500, 0.500)
Cu (0.000, 0.000, 0.500)
Cu (0.000, 0.500, 0.000)
Cu (0.500, 0.000, 0.000)

Need the numbers? Relative energies in kJ/mol of atoms: P 0.0; Q 39.6.

P | DFT (PBE) results for BaNa2Cu after structural relaxation.

## Properties
Density = 3.181 g/cm3
Total magnetic moment = 0.0 μB/f.u.

Lattice parameters (Å, degrees): 5.669 5.669 5.669 60.00 60.00 60.00
Fractional positions:
Ba (0.000, 0.000, 0.000)
Na (0.250, 0.250, 0.250)
Na (0.750, 0.750, 0.750)
Cu (0.500, 0.500, 0.500)

Q | DFT (PBE) results for BaNa2Cu after structural relaxation.

## Properties
Density = 2.948 g/cm3
Total magnetic moment = 0.0 μB/f.u.

Lattice parameters (Å, degrees): 13.155 13.155 13.155 159.54 159.54 29.10
Fractional positions:
Ba (0.000, 0.000, 0.000)
Ba (0.750, 0.250, 0.500)
Na (0.163, 0.625, 0.038)
Na (0.375, 0.413, 0.538)
Na (0.587, 0.125, 0.962)
Na (0.875, 0.837, 0.462)
Cu (0.250, 0.750, 0.500)
Cu (0.500, 0.500, 0.000)

Need the numbers? Relative energies in kJ/mol of atoms: P 10.3; Q 0.0.

P | DFT (PBE) results for Ba2NaCu3O6 after structural relaxation.

## Properties
Density = 5.299 g/cm3
Total magnetic moment = 0.9 μB/f.u.

Lattice parameters (Å, degrees): 3.802 3.802 12.665 90.00 90.00 90.00
Fractional positions:
Ba (0.000, 0.000, 0.207)
Ba (0.000, 0.000, 0.793)
Na (0.000, 0.000, 0.500)
Cu (0.500, 0.500, 0.000)
Cu (0.500, 0.500, 0.385)
Cu (0.500, 0.500, 0.615)
O (0.000, 0.500, 0.366)
O (0.000, 0.500, 0.634)
O (0.500, 0.000, 0.366)
O (0.500, 0.000, 0.634)
O (0.500, 0.500, 0.139)
O (0.500, 0.500, 0.861)

Q | DFT (PBE) results for Ba2NaCu3O6 after structural relaxation.

## Properties
Density = 5.423 g/cm3
Total magnetic moment = 2.0 μB/f.u.

Lattice parameters (Å, degrees): 9.312 8.459 7.155 72.68 60.14 47.18
Fractional positions:
Ba (0.232, 0.768, 0.232)
Ba (0.250, 0.250, 0.250)
Ba (0.750, 0.750, 0.750)
Ba (0.768, 0.232, 0.768)
Na (0.331, 0.331, 0.669)
Na (0.669, 0.669, 0.331)
Cu (0.003, 0.701, 0.997)
Cu (0.299, 0.997, 0.701)
Cu (0.309, 0.691, 0.691)
Cu (0.691, 0.309, 0.309)
Cu (0.701, 0.003, 0.299)
Cu (0.997, 0.299, 0.003)
O (0.072, 0.305, 0.695)
O (0.091, 0.723, 0.684)
O (0.277, 0.909, 0.498)
O (0.305, 0.072, 0.928)
O (0.316, 0.498, 0.909)
O (0.498, 0.316, 0.277)
O (0.502, 0.684, 0.723)
O (0.684, 0.502, 0.091)
O (0.695, 0.928, 0.072)
O (0.723, 0.091, 0.502)
O (0.909, 0.277, 0.316)
O (0.928, 0.695, 0.305)

Need the numbers? Relative energies in kJ/mol of atoms: P 9.6; Q 0.0.

P | DFT (PBE) results for RbBa2NaCu after structural relaxation.

## Properties
Density = 2.719 g/cm3
Total magnetic moment = 0.0 μB/f.u.

Lattice parameters (Å, degrees): 6.359 6.359 6.746 90.00 90.00 90.00
Fractional positions:
Rb (0.000, 0.000, 0.000)
Ba (0.000, 0.500, 0.500)
Ba (0.500, 0.000, 0.500)
Na (0.500, 0.500, 0.000)
Cu (0.000, 0.000, 0.500)

Q | DFT (PBE) results for RbBa2NaCu after structural relaxation.

## Properties
Density = 2.882 g/cm3
Total magnetic moment = 0.0 μB/f.u.

Lattice parameters (Å, degrees): 6.376 6.376 6.330 90.00 90.00 90.00
Fractional positions:
Rb (0.000, 0.000, 0.000)
Ba (0.000, 0.500, 0.500)
Ba (0.500, 0.000, 0.500)
Na (0.500, 0.500, 0.000)
Cu (0.500, 0.500, 0.500)

Need the numbers? Relative energies in kJ/mol of atoms: P 1.0; Q 0.0.

P | DFT (PBE) results for BaNbCu after structural relaxation.

## Properties
Density = 5.722 g/cm3
Total magnetic moment = 0.0 μB/f.u.

Lattice parameters (Å, degrees): 4.238 4.238 10.788 90.00 90.00 118.38
Fractional positions:
Ba (0.000, 0.000, 0.000)
Ba (0.000, 0.000, 0.500)
Nb (0.335, 0.665, 0.750)
Nb (0.665, 0.335, 0.250)
Cu (0.326, 0.674, 0.250)
Cu (0.674, 0.326, 0.750)

Q | DFT (PBE) results for BaNbCu after structural relaxation.

## Properties
Density = 6.021 g/cm3
Total magnetic moment = 0.0 μB/f.u.

Lattice parameters (Å, degrees): 8.317 3.595 10.841 90.00 90.00 90.00
Fractional positions:
Ba (0.062, 0.250, 0.178)
Ba (0.438, 0.750, 0.678)
Ba (0.562, 0.250, 0.322)
Ba (0.938, 0.750, 0.822)
Nb (0.099, 0.250, 0.541)
Nb (0.401, 0.750, 0.041)
Nb (0.599, 0.250, 0.959)
Nb (0.901, 0.750, 0.459)
Cu (0.231, 0.750, 0.390)
Cu (0.269, 0.250, 0.890)
Cu (0.731, 0.750, 0.110)
Cu (0.769, 0.250, 0.610)

R | DFT (PBE) results for BaNbCu after structural relaxation.

## Properties
Density = 3.260 g/cm3
Total magnetic moment = 4.7 μB/f.u.

Lattice parameters (Å, degrees): 5.068 5.068 13.457 90.00 90.00 120.00
Fractional positions:
Ba (0.000, 0.000, 0.250)
Ba (0.000, 0.000, 0.750)
Nb (0.000, 0.000, 0.000)
Nb (0.000, 0.000, 0.500)
Cu (0.333, 0.667, 0.250)
Cu (0.667, 0.333, 0.750)

Need the numbers? Relative energies in kJ/mol of atoms: P 28.7; Q 0.0; R 177.5.

P | DFT (PBE) results for BaNbCu after structural relaxation.

## Properties
Density = 6.334 g/cm3
Total magnetic moment = 0.0 μB/f.u.

Lattice parameters (Å, degrees): 3.616 3.616 11.778 90.00 90.00 90.00
Fractional positions:
Ba (0.000, 0.000, 0.178)
Ba (0.000, 0.000, 0.822)
Nb (0.500, 0.500, 0.403)
Nb (0.500, 0.500, 0.597)
Cu (0.000, 0.000, 0.500)
Cu (0.500, 0.500, 0.000)

Q | DFT (PBE) results for BaNbCu after structural relaxation.

## Properties
Density = 6.088 g/cm3
Total magnetic moment = 0.0 μB/f.u.

Lattice parameters (Å, degrees): 6.696 6.696 8.282 122.15 122.15 31.19
Fractional positions:
Ba (0.077, 0.077, 0.292)
Ba (0.923, 0.923, 0.708)
Nb (0.279, 0.279, 0.919)
Nb (0.721, 0.721, 0.081)
Cu (0.386, 0.386, 0.334)
Cu (0.614, 0.614, 0.666)

Need the numbers? Relative energies in kJ/mol of atoms: P 5.8; Q 0.0.

P | DFT (PBE) results for BaNbCu after structural relaxation.

## Properties
Density = 5.693 g/cm3
Total magnetic moment = 0.0 μB/f.u.

Lattice parameters (Å, degrees): 9.914 9.914 4.257 102.02 102.02 24.78
Fractional positions:
Ba (0.000, 0.000, 0.000)
Ba (0.678, 0.678, 0.677)
Nb (0.264, 0.264, 0.251)
Nb (0.842, 0.842, 0.388)
Cu (0.345, 0.345, 0.844)
Cu (0.423, 0.423, 0.417)

Q | DFT (PBE) results for BaNbCu after structural relaxation.

## Properties
Density = 5.801 g/cm3
Total magnetic moment = 0.0 μB/f.u.

Lattice parameters (Å, degrees): 10.550 3.508 9.088 90.00 90.00 90.00
Fractional positions:
Ba (0.183, 0.250, 0.077)
Ba (0.317, 0.750, 0.577)
Ba (0.683, 0.250, 0.423)
Ba (0.817, 0.750, 0.923)
Nb (0.048, 0.250, 0.410)
Nb (0.452, 0.750, 0.910)
Nb (0.548, 0.250, 0.090)
Nb (0.952, 0.750, 0.590)
Cu (0.083, 0.250, 0.737)
Cu (0.417, 0.750, 0.237)
Cu (0.583, 0.250, 0.763)
Cu (0.917, 0.750, 0.263)

R | DFT (PBE) results for BaNbCu after structural relaxation.

## Properties
Density = 6.388 g/cm3
Total magnetic moment = 0.0 μB/f.u.

Lattice parameters (Å, degrees): 6.129 6.129 5.168 114.67 114.67 64.89
Fractional positions:
Ba (0.000, 0.000, 0.000)
Ba (0.733, 0.733, 0.236)
Nb (0.318, 0.318, 0.697)
Nb (0.385, 0.385, 0.226)
Cu (0.385, 0.836, 0.629)
Cu (0.836, 0.385, 0.629)

S | DFT (PBE) results for BaNbCu after structural relaxation.

## Properties
Density = 5.361 g/cm3
Total magnetic moment = 0.0 μB/f.u.

Lattice parameters (Å, degrees): 4.008 4.646 10.980 98.61 90.29 115.48
Fractional positions:
Ba (0.000, 0.000, 0.000)
Ba (0.207, 0.394, 0.638)
Nb (0.359, 0.709, 0.225)
Nb (0.767, 0.520, 0.363)
Cu (0.064, 0.115, 0.310)
Cu (0.482, 0.950, 0.455)

Need the numbers? Relative energies in kJ/mol of atoms: P 6.0; Q 16.2; R 11.8; S 0.0.

P | DFT (PBE) results for BaNb3Cu after structural relaxation.

## Properties
Density = 6.250 g/cm3
Total magnetic moment = 0.0 μB/f.u.

Lattice parameters (Å, degrees): 5.032 5.032 5.032 90.00 90.00 90.00
Fractional positions:
Ba (0.000, 0.000, 0.000)
Nb (0.000, 0.000, 0.500)
Nb (0.000, 0.500, 0.000)
Nb (0.500, 0.000, 0.000)
Cu (0.500, 0.500, 0.500)

Q | DFT (PBE) results for BaNb3Cu after structural relaxation.

## Properties
Density = 6.616 g/cm3
Total magnetic moment = 3.1 μB/f.u.

Lattice parameters (Å, degrees): 4.938 4.938 4.938 90.00 90.00 90.00
Fractional positions:
Ba (0.000, 0.000, 0.000)
Nb (0.000, 0.500, 0.500)
Nb (0.500, 0.000, 0.500)
Nb (0.500, 0.500, 0.000)
Cu (0.500, 0.500, 0.500)

Need the numbers? Relative energies in kJ/mol of atoms: P 135.2; Q 0.0.

P | DFT (PBE) results for BaNbCu3 after structural relaxation.

## Properties
Density = 5.661 g/cm3
Total magnetic moment = 0.0 μB/f.u.

Lattice parameters (Å, degrees): 4.979 4.979 4.979 90.00 90.00 90.00
Fractional positions:
Ba (0.000, 0.000, 0.000)
Nb (0.500, 0.500, 0.500)
Cu (0.000, 0.500, 0.500)
Cu (0.500, 0.000, 0.500)
Cu (0.500, 0.500, 0.000)

Q | DFT (PBE) results for BaNbCu3 after structural relaxation.

## Properties
Density = 5.413 g/cm3
Total magnetic moment = 0.0 μB/f.u.

Lattice parameters (Å, degrees): 5.054 5.054 5.054 90.00 90.00 90.00
Fractional positions:
Ba (0.000, 0.000, 0.000)
Nb (0.500, 0.500, 0.500)
Cu (0.000, 0.000, 0.500)
Cu (0.000, 0.500, 0.000)
Cu (0.500, 0.000, 0.000)

Need the numbers? Relative energies in kJ/mol of atoms: P 0.0; Q 133.4.

P | DFT (PBE) results for BaCuNi3 after structural relaxation.

## Properties
Density = 7.199 g/cm3
Total magnetic moment = 0.4 μB/f.u.

Lattice parameters (Å, degrees): 6.801 6.801 7.021 94.33 94.33 32.50
Fractional positions:
Ba (0.130, 0.130, 0.039)
Ba (0.870, 0.870, 0.961)
Cu (0.481, 0.481, 0.665)
Cu (0.519, 0.519, 0.335)
Ni (0.095, 0.095, 0.526)
Ni (0.279, 0.279, 0.619)
Ni (0.333, 0.333, 0.308)
Ni (0.667, 0.667, 0.692)
Ni (0.721, 0.721, 0.381)
Ni (0.905, 0.905, 0.474)

Q | DFT (PBE) results for BaCuNi3 after structural relaxation.

## Properties
Density = 5.319 g/cm3
Total magnetic moment = 0.0 μB/f.u.

Lattice parameters (Å, degrees): 4.900 4.900 4.900 90.00 90.00 90.00
Fractional positions:
Ba (0.000, 0.000, 0.000)
Cu (0.500, 0.500, 0.500)
Ni (0.000, 0.000, 0.500)
Ni (0.000, 0.500, 0.000)
Ni (0.500, 0.000, 0.000)

R | DFT (PBE) results for BaCuNi3 after structural relaxation.

## Properties
Density = 6.648 g/cm3
Total magnetic moment = 0.0 μB/f.u.

Lattice parameters (Å, degrees): 4.549 4.549 4.549 90.00 90.00 90.00
Fractional positions:
Ba (0.000, 0.000, 0.000)
Cu (0.500, 0.500, 0.500)
Ni (0.000, 0.500, 0.500)
Ni (0.500, 0.000, 0.500)
Ni (0.500, 0.500, 0.000)

Need the numbers? Relative energies in kJ/mol of atoms: P 0.0; Q 175.0; R 33.2.